#a
Below is crystalline La4NdIn2 at its relaxed geometry, with properties calculated at the PBE level.

**Crystal system**: tetragonal
**Size of the total moment**: 0.000 μB/atom
**Space group**: I4/mmm (139)

Unit cell a=7.808 b=7.808 c=7.808 alpha=134.04 beta=134.04 gamma=67.03
Element x y z (fractional)
La  0.000  0.500  0.500
La  0.250  0.750  0.500
La  0.500  0.000  0.500
La  0.750  0.250  0.500
Nd  0.000  0.000  0.000
In  0.378  0.378  0.000
In  0.622  0.622  0.000

#b
Below is crystalline La4NdIn2 at its relaxed geometry, with properties calculated at the PBE level.

**Crystal system**: monoclinic
**Size of the total moment**: 0.000 μB/atom
**Space group**: P2_1/c (14)

Unit cell a=5.546 b=12.912 c=6.603 alpha=90.00 beta=90.06 gamma=90.00
Element x y z (fractional)
La  0.004  0.173  0.353
La  0.004  0.327  0.853
La  0.495  0.652  0.492
La  0.495  0.848  0.992
La  0.505  0.152  0.008
La  0.505  0.348  0.508
La  0.996  0.673  0.147
La  0.996  0.827  0.647
Nd  0.500  0.000  0.500
Nd  0.500  0.500  0.000
In  0.004  0.063  0.808
In  0.004  0.437  0.308
In  0.996  0.563  0.692
In  0.996  0.937  0.192

What should be chosen as the most stable of them? Choose #b.

#a
Below is crystalline La6NdIn at its relaxed geometry, with properties calculated at the PBE level.

**Crystal system**: tetragonal
**Size of the total moment**: 0.000 μB/atom
**Space group**: P4/mmm (123)

Unit cell a=5.139 b=5.139 c=10.427 alpha=90.00 beta=90.00 gamma=90.00
Element x y z (fractional)
La  0.000  0.000  0.000
La  0.000  0.000  0.500
La  0.000  0.500  0.243
La  0.000  0.500  0.757
La  0.500  0.000  0.243
La  0.500  0.000  0.757
Nd  0.500  0.500  0.500
In  0.500  0.500  0.000

#b
Below is crystalline La6NdIn at its relaxed geometry, with properties calculated at the PBE level.

**Crystal system**: triclinic
**Size of the total moment**: 0.000 μB/atom
**Space group**: P-1 (2)

Unit cell a=6.578 b=6.578 c=6.579 alpha=95.97 beta=95.94 gamma=96.08
Element x y z (fractional)
La  0.018  0.271  0.046
La  0.271  0.545  0.519
La  0.453  0.980  0.230
La  0.547  0.020  0.770
La  0.729  0.455  0.481
La  0.982  0.729  0.954
Nd  0.000  0.000  0.500
In  0.500  0.500  0.000

What should be chosen as the most stable of them? Choose #a.

#a
Below is crystalline La2Nd8In at its relaxed geometry, with properties calculated at the PBE level.

**Crystal system**: monoclinic
**Size of the total moment**: 0.000 μB/atom
**Space group**: C2/m (12)

Unit cell a=9.654 b=9.654 c=8.153 alpha=104.60 beta=104.60 gamma=30.77
Element x y z (fractional)
La  0.224  0.224  0.133
La  0.776  0.776  0.867
Nd  0.043  0.043  0.230
Nd  0.136  0.136  0.676
Nd  0.323  0.323  0.593
Nd  0.411  0.411  0.060
Nd  0.589  0.589  0.940
Nd  0.677  0.677  0.407
Nd  0.864  0.864  0.324
Nd  0.957  0.957  0.770
In  0.500  0.500  0.500

#b
Below is crystalline La2Nd8In at its relaxed geometry, with properties calculated at the PBE level.

**Crystal system**: orthorhombic
**Size of the total moment**: 0.000 μB/atom
**Space group**: Immm (71)

Unit cell a=10.070 b=10.070 c=10.070 alpha=147.32 beta=134.54 gamma=57.11
Element x y z (fractional)
La  0.193  0.193  0.000
La  0.807  0.807  0.000
Nd  0.092  0.365  0.727
Nd  0.244  0.000  0.244
Nd  0.326  0.826  0.500
Nd  0.362  0.635  0.727
Nd  0.638  0.365  0.273
Nd  0.674  0.174  0.500
Nd  0.756  0.000  0.756
Nd  0.908  0.635  0.273
In  0.500  0.500  0.000

What should be chosen as the most stable of them? Choose #a.

#a
Below is crystalline La5NdIn2 at its relaxed geometry, with properties calculated at the PBE level.

**Crystal system**: orthorhombic
**Size of the total moment**: 0.000 μB/atom
**Space group**: Cmcm (63)

Unit cell a=6.746 b=6.746 c=16.491 alpha=90.00 beta=90.00 gamma=133.14
Element x y z (fractional)
La  0.037  0.963  0.605
La  0.037  0.963  0.895
La  0.358  0.642  0.526
La  0.358  0.642  0.974
La  0.460  0.540  0.250
La  0.540  0.460  0.750
La  0.642  0.358  0.026
La  0.642  0.358  0.474
La  0.963  0.037  0.105
La  0.963  0.037  0.395
Nd  0.268  0.732  0.750
Nd  0.732  0.268  0.250
In  0.224  0.776  0.146
In  0.224  0.776  0.354
In  0.776  0.224  0.646
In  0.776  0.224  0.854

#b
Below is crystalline La5NdIn2 at its relaxed geometry, with properties calculated at the PBE level.

**Crystal system**: orthorhombic
**Size of the total moment**: 0.000 μB/atom
**Space group**: Pbam (55)

Unit cell a=7.148 b=14.292 c=5.043 alpha=90.00 beta=90.00 gamma=90.00
Element x y z (fractional)
La  0.000  0.000  0.000
La  0.011  0.252  0.000
La  0.246  0.876  0.500
La  0.254  0.376  0.500
La  0.489  0.752  0.000
La  0.500  0.500  0.000
La  0.511  0.248  0.000
La  0.746  0.624  0.500
La  0.754  0.124  0.500
La  0.989  0.748  0.000
Nd  0.000  0.500  0.000
Nd  0.500  0.000  0.000
In  0.244  0.624  0.500
In  0.256  0.124  0.500
In  0.744  0.876  0.500
In  0.756  0.376  0.500

What should be chosen as the most stable of them? Choose #b.

#a
Below is crystalline La6Nd3In at its relaxed geometry, with properties calculated at the PBE level.

**Crystal system**: monoclinic
**Size of the total moment**: 0.000 μB/atom
**Space group**: P2_1/m (11)

Unit cell a=12.439 b=3.699 c=15.651 alpha=90.00 beta=99.35 gamma=90.00
Element x y z (fractional)
La  0.073  0.250  0.400
La  0.114  0.750  0.963
La  0.180  0.250  0.755
La  0.320  0.250  0.122
La  0.320  0.750  0.333
La  0.401  0.250  0.532
La  0.599  0.750  0.468
La  0.680  0.250  0.667
La  0.680  0.750  0.878
La  0.820  0.750  0.245
La  0.886  0.250  0.037
La  0.927  0.750  0.600
Nd  0.085  0.750  0.188
Nd  0.388  0.750  0.932
Nd  0.437  0.750  0.724
Nd  0.563  0.250  0.276
Nd  0.612  0.250  0.068
Nd  0.915  0.250  0.812
In  0.194  0.750  0.575
In  0.806  0.250  0.425

#b
Below is crystalline La6Nd3In at its relaxed geometry, with properties calculated at the PBE level.

**Crystal system**: orthorhombic
**Size of the total moment**: 0.000 μB/atom
**Space group**: Cmc2_1 (36)

Unit cell a=11.771 b=11.771 c=6.526 alpha=90.00 beta=90.00 gamma=129.47
Element x y z (fractional)
La  0.017  0.983  0.500
La  0.095  0.531  0.023
La  0.254  0.373  0.239
La  0.292  0.708  0.478
La  0.373  0.254  0.739
La  0.469  0.905  0.023
La  0.531  0.095  0.523
La  0.627  0.746  0.239
La  0.708  0.292  0.978
La  0.746  0.627  0.739
La  0.905  0.469  0.523
La  0.983  0.017  0.000
Nd  0.038  0.296  0.671
Nd  0.296  0.038  0.171
Nd  0.418  0.582  0.766
Nd  0.582  0.418  0.266
Nd  0.704  0.962  0.671
Nd  0.962  0.704  0.171
In  0.156  0.844  0.728
In  0.844  0.156  0.228

What should be chosen as the most stable of them? Choose #a.

#a
Below is crystalline La3Nd4In at its relaxed geometry, with properties calculated at the PBE level.

**Crystal system**: orthorhombic
**Size of the total moment**: 0.000 μB/atom
**Space group**: Pmn2_1 (31)

Unit cell a=11.683 b=7.283 c=6.368 alpha=90.00 beta=90.00 gamma=90.00
Element x y z (fractional)
La  0.000  0.124  0.000
La  0.242  0.112  0.666
La  0.258  0.888  0.166
La  0.500  0.876  0.500
La  0.742  0.888  0.166
La  0.758  0.112  0.666
Nd  0.000  0.372  0.465
Nd  0.000  0.631  0.006
Nd  0.232  0.631  0.648
Nd  0.268  0.369  0.148
Nd  0.500  0.369  0.506
Nd  0.500  0.628  0.965
Nd  0.732  0.369  0.148
Nd  0.768  0.631  0.648
In  0.000  0.874  0.487
In  0.500  0.126  0.987

#b
Below is crystalline La3Nd4In at its relaxed geometry, with properties calculated at the PBE level.

**Crystal system**: orthorhombic
**Size of the total moment**: 0.000 μB/atom
**Space group**: Pmn2_1 (31)

Unit cell a=7.266 b=7.193 c=10.221 alpha=90.00 beta=90.00 gamma=90.00
Element x y z (fractional)
La  0.000  0.001  0.000
La  0.249  0.262  0.252
La  0.251  0.738  0.752
La  0.500  0.999  0.500
La  0.749  0.738  0.752
La  0.751  0.262  0.252
Nd  0.000  0.000  0.503
Nd  0.000  0.500  0.502
Nd  0.249  0.736  0.252
Nd  0.251  0.264  0.752
Nd  0.500  0.000  0.003
Nd  0.500  0.500  0.002
Nd  0.749  0.264  0.752
Nd  0.751  0.736  0.252
In  0.000  0.500  0.001
In  0.500  0.500  0.501

What should be chosen as the most stable of them? Choose #a.

#a
Below is crystalline La12Nd7In at its relaxed geometry, with properties calculated at the PBE level.

**Crystal system**: cubic
**Size of the total moment**: 0.000 μB/atom
**Space group**: Im-3m (229)

Unit cell a=10.177 b=10.177 c=10.177 alpha=109.47 beta=109.47 gamma=109.47
Element x y z (fractional)
La  0.000  0.238  0.762
La  0.000  0.762  0.238
La  0.238  0.000  0.762
La  0.238  0.238  0.475
La  0.238  0.475  0.238
La  0.238  0.762  0.000
La  0.475  0.238  0.238
La  0.525  0.762  0.762
La  0.762  0.000  0.238
La  0.762  0.238  0.000
La  0.762  0.525  0.762
La  0.762  0.762  0.525
Nd  0.000  0.000  0.500
Nd  0.000  0.500  0.000
Nd  0.000  0.500  0.500
Nd  0.500  0.000  0.000
Nd  0.500  0.000  0.500
Nd  0.500  0.500  0.000
Nd  0.500  0.500  0.500
In  0.000  0.000  0.000

#b
Below is crystalline La12Nd7In at its relaxed geometry, with properties calculated at the PBE level.

**Crystal system**: trigonal
**Size of the total moment**: 0.000 μB/atom
**Space group**: R-3 (148)

Unit cell a=8.921 b=8.921 c=8.921 alpha=89.91 beta=89.91 gamma=89.91
Element x y z (fractional)
La  0.003  0.356  0.884
La  0.116  0.997  0.644
La  0.232  0.766  0.380
La  0.234  0.620  0.768
La  0.356  0.884  0.003
La  0.380  0.232  0.766
La  0.620  0.768  0.234
La  0.644  0.116  0.997
La  0.766  0.380  0.232
La  0.768  0.234  0.620
La  0.884  0.003  0.356
La  0.997  0.644  0.116
Nd  0.000  0.000  0.000
Nd  0.123  0.355  0.434
Nd  0.355  0.434  0.123
Nd  0.434  0.123  0.355
Nd  0.566  0.877  0.645
Nd  0.645  0.566  0.877
Nd  0.877  0.645  0.566
In  0.500  0.500  0.500

What should be chosen as the most stable of them? Choose #b.

#a
Below is crystalline La3Nd6In at its relaxed geometry, with properties calculated at the PBE level.

**Crystal system**: orthorhombic
**Size of the total moment**: 0.000 μB/atom
**Space group**: Cmc2_1 (36)

Unit cell a=10.485 b=10.485 c=6.516 alpha=90.00 beta=90.00 gamma=100.09
Element x y z (fractional)
La  0.144  0.856  0.500
La  0.215  0.391  0.173
La  0.391  0.215  0.673
La  0.609  0.785  0.173
La  0.785  0.609  0.673
La  0.856  0.144  0.000
Nd  0.067  0.172  0.494
Nd  0.088  0.473  0.705
Nd  0.172  0.067  0.994
Nd  0.249  0.751  0.005
Nd  0.453  0.547  0.845
Nd  0.473  0.088  0.205
Nd  0.527  0.912  0.705
Nd  0.547  0.453  0.345
Nd  0.751  0.249  0.505
Nd  0.828  0.933  0.494
Nd  0.912  0.527  0.205
Nd  0.933  0.828  0.994
In  0.342  0.658  0.445
In  0.658  0.342  0.945

#b
Below is crystalline La3Nd6In at its relaxed geometry, with properties calculated at the PBE level.

**Crystal system**: monoclinic
**Size of the total moment**: 0.000 μB/atom
**Space group**: P2_1/m (11)

Unit cell a=12.665 b=3.675 c=15.110 alpha=90.00 beta=93.84 gamma=90.00
Element x y z (fractional)
La  0.055  0.250  0.300
La  0.102  0.250  0.084
La  0.430  0.250  0.815
La  0.570  0.750  0.185
La  0.898  0.750  0.916
La  0.945  0.750  0.700
Nd  0.112  0.750  0.504
Nd  0.189  0.750  0.888
Nd  0.210  0.250  0.681
Nd  0.306  0.750  0.255
Nd  0.378  0.250  0.041
Nd  0.441  0.750  0.599
Nd  0.559  0.250  0.401
Nd  0.622  0.750  0.959
Nd  0.694  0.250  0.745
Nd  0.790  0.750  0.319
Nd  0.811  0.250  0.112
Nd  0.888  0.250  0.496
In  0.306  0.250  0.443
In  0.694  0.750  0.557

What should be chosen as the most stable of them? Choose #b.

#a
Below is crystalline La5Nd2In5 at its relaxed geometry, with properties calculated at the PBE level.

**Crystal system**: monoclinic
**Size of the total moment**: 0.000 μB/atom
**Space group**: C2/m (12)

Unit cell a=8.216 b=8.216 c=11.488 alpha=116.11 beta=116.11 gamma=32.34
Element x y z (fractional)
La  0.000  0.000  0.000
La  0.077  0.077  0.757
La  0.249  0.249  0.245
La  0.751  0.751  0.755
La  0.923  0.923  0.243
Nd  0.152  0.152  0.484
Nd  0.848  0.848  0.516
In  0.322  0.322  0.997
In  0.405  0.405  0.740
In  0.500  0.500  0.500
In  0.595  0.595  0.260
In  0.678  0.678  0.003

#b
Below is crystalline La5Nd2In5 at its relaxed geometry, with properties calculated at the PBE level.

**Crystal system**: monoclinic
**Size of the total moment**: 0.000 μB/atom
**Space group**: C2/m (12)

Unit cell a=5.843 b=5.843 c=14.101 alpha=103.40 beta=103.40 gamma=55.49
Element x y z (fractional)
La  0.000  0.000  0.000
La  0.345  0.345  0.516
La  0.420  0.420  0.185
La  0.580  0.580  0.815
La  0.655  0.655  0.484
Nd  0.191  0.191  0.711
Nd  0.809  0.809  0.289
In  0.000  0.000  0.500
In  0.127  0.127  0.285
In  0.296  0.296  0.940
In  0.704  0.704  0.060
In  0.873  0.873  0.715

What should be chosen as the most stable of them? Choose #a.